Entry 1:
A plane-wave DFT calculation with PBE was carried out for crystalline Tb3DySc at its relaxed geometry.

abc: 6.1855 5.5541 9.4434
angles: 90.00 109.04 90.00
With the nearest neighbours (Å) after each atom.
Space group P2_1/m (No. 11)
One atom of each set of equivalent atoms:
1 Tb 0.1395 0.2500 0.0974 [2 per cell]  4 Sc 3.43-3.58, 5 Tb 3.46-3.62, 3 Dy 3.47-3.53
2 Tb 0.2735 0.7500 0.7088 [2 per cell]  3 Sc 3.43-3.46, 3 Dy 3.47-3.67, 6 Tb 3.48-3.64
3 Tb 0.3345 0.2500 0.5032 [2 per cell]  7 Tb 3.46-3.64, 4 Dy 3.48-3.57, 1 Sc 3.58
4 Dy 0.0663 0.7500 0.2980 [2 per cell]  10 Tb 3.47-3.67, 2 Sc 3.58-3.59
5 Sc 0.4648 0.7500 0.0959 [2 per cell]  2 Sc 3.42, 8 Tb 3.43-3.58, 2 Dy 3.58-3.59

Calculated values
As for the crystal system: monoclinic. For the energy of formation from the pure elements, the calculation gives 26 meV/atom. As for the size of the total moment: 0.00 μB per cell. The value obtained for the polymorph energy (0 for the lowest one) is 0.000 eV/atom.

Entry 2:
A plane-wave DFT calculation with PBE was carried out for crystalline Tb15Dy2Sc2 at its relaxed geometry.

abc: 11.0615 11.0615 17.5115
angles: 90.00 90.00 120.00
With the nearest neighbours (Å) after each atom.
Space group R-3m (No. 166, hexagonal axes)
One atom of each set of equivalent atoms:
1 Tb 0.0000 0.2941 0.0000 [18 per cell]  6 Tb 3.25-3.36, 2 Sc 3.62
2 Tb 0.0000 0.5000 0.5000 [9 per cell]  8 Tb 3.30-3.36, 2 Sc 3.46
3 Tb 0.0119 0.5060 0.1357 [18 per cell]  6 Tb 3.26-3.30
4 Dy 0.0000 0.0000 0.3184 [6 per cell]  15 Tb 3.93-4.15, 1 Sc 3.99
5 Sc 0.0000 0.0000 0.0905 [6 per cell]  1 Sc 3.17, 3 Tb 3.46

Calculated values
As for the crystal system: trigonal. For the energy of formation from the pure elements, the calculation gives 289 meV/atom. As for the size of the total moment: 0.70 μB per cell.

Entry 3:
A plane-wave DFT calculation with PBE was carried out for crystalline Tb6Dy5Sc at its relaxed geometry.

abc: 11.1370 14.9971 4.9888
angles: 90.00 116.51 90.00
With the nearest neighbours (Å) after each atom.
Space group C2/m (No. 12)
One atom of each set of equivalent atoms:
1 Tb 0.2462 0.0000 0.2461 [4 per cell]  6 Dy 3.48-3.56, 2 Sc 3.50, 4 Tb 3.52
2 Tb 0.2480 0.1657 0.7480 [8 per cell]  1 Sc 3.51, 7 Dy 3.51-3.57, 4 Tb 3.52-3.55
3 Dy 0.0000 0.1649 0.0000 [4 per cell]  8 Tb 3.48-3.57, 2 Sc 3.51, 2 Dy 3.56
4 Dy 0.0000 0.3339 0.5000 [4 per cell]  4 Dy 3.53-3.56, 8 Tb 3.53-3.55
5 Dy 0.0000 0.5000 0.0000 [2 per cell]  4 Dy 3.53, 8 Tb 3.53-3.56
6 Sc 0.0000 0.0000 0.5000 [2 per cell]  8 Tb 3.50-3.51, 4 Dy 3.51

Calculated values
As for the crystal system: monoclinic. For the energy of formation from the pure elements, the calculation gives 26 meV/atom. As for the size of the total moment: 0.00 μB per cell.

Entry 4:
A plane-wave DFT calculation with PBE was carried out for crystalline Tb8Dy3Sc2 at its relaxed geometry.

abc: 14.7370 9.0784 6.6863
angles: 90.00 109.18 90.00
With the nearest neighbours (Å) after each atom.
Space group C2/m (No. 12)
One atom of each set of equivalent atoms:
1 Tb 0.0923 0.0000 0.2199 [4 per cell]  4 Tb 3.28-3.46, 2 Dy 3.41, 1 Sc 3.48
2 Tb 0.1211 0.1809 0.6930 [8 per cell]  4 Tb 3.29-3.65, 2 Sc 3.30-3.44, 2 Dy 3.41-3.42
3 Tb 0.1901 0.5000 0.3943 [4 per cell]  1 Dy 3.11, 2 Sc 3.22-3.47, 3 Tb 3.39-3.44
4 Dy 0.0000 0.3294 0.0000 [4 per cell]  1 Dy 3.10, 4 Tb 3.41
5 Dy 0.0000 0.5000 0.5000 [2 per cell]  6 Tb 3.11-3.42, 2 Sc 3.35
6 Sc 0.2006 0.5000 0.9211 [4 per cell]  7 Tb 3.22-3.48, 3 Dy 3.35-3.53

Calculated values
As for the crystal system: monoclinic. For the energy of formation from the pure elements, the calculation gives 229 meV/atom. As for the size of the total moment: 0.00 μB per cell.

Entry 5:
A plane-wave DFT calculation with PBE was carried out for crystalline Tb6Dy3Sc2 at its relaxed geometry.

abc: 6.0895 10.5534 11.2025
angles: 90.00 100.56 90.00
With the nearest neighbours (Å) after each atom.
Space group C2/m (No. 12)
One atom of each set of equivalent atoms:
1 Tb 0.2453 0.0000 0.2382 [4 per cell]  2 Sc 3.31, 6 Tb 3.51-3.52, 3 Dy 3.52-3.53
2 Tb 0.2461 0.3332 0.2381 [8 per cell]  2 Sc 3.32, 6 Tb 3.51-3.52, 3 Dy 3.53
3 Dy 0.0000 0.0000 0.5000 [2 per cell]  6 Dy 3.51-3.53, 6 Tb 3.53
4 Dy 0.0000 0.3343 0.5000 [4 per cell]  6 Dy 3.50-3.53, 6 Tb 3.52-3.53
5 Sc 0.0000 0.1663 0.0000 [4 per cell]  6 Tb 3.31-3.32, 3 Sc 3.51-3.52

Calculated values
As for the crystal system: monoclinic. For the energy of formation from the pure elements, the calculation gives 206 meV/atom. As for the size of the total moment: 0.00 μB per cell. The value obtained for the polymorph energy (0 for the lowest one) is 0.000 eV/atom.

Entry 6:
A plane-wave DFT calculation with PBE was carried out for crystalline Tb4DySc2 at its relaxed geometry.

abc: 5.4533 6.7878 11.6476
angles: 90.00 103.56 90.00
With the nearest neighbours (Å) after each atom.
Space group P2_1/m (No. 11)
One atom of each set of equivalent atoms:
1 Tb 0.0727 0.2500 0.1500 [2 per cell]  3 Sc 3.14-3.20, 3 Dy 3.34-3.39
2 Tb 0.2148 0.7500 0.4318 [2 per cell]  4 Sc 3.16-3.39, 1 Dy 3.25
3 Tb 0.3545 0.5007 0.7089 [4 per cell]  7 Tb 3.38-3.59, 5 Sc 3.55-3.74, 2 Dy 3.60-3.63
4 Dy 0.0752 0.7500 0.1446 [2 per cell]  2 Sc 3.20, 4 Tb 3.25-3.39
5 Sc 0.2146 0.2500 0.4269 [2 per cell]  5 Tb 3.14-3.39
6 Sc 0.4982 0.2500 0.0030 [2 per cell]  2 Tb 3.19-3.20, 2 Dy 3.20, 2 Sc 3.39

Calculated values
As for the crystal system: monoclinic. For the energy of formation from the pure elements, the calculation gives 146 meV/atom. As for the size of the total moment: 0.00 μB per cell. The value obtained for the polymorph energy (0 for the lowest one) is 0.000 eV/atom.

Entry 7:
A plane-wave DFT calculation with PBE was carried out for crystalline Tb3Dy6Sc at its relaxed geometry.

abc: 9.7319 9.7319 11.5889
angles: 90.00 90.00 120.00
With the nearest neighbours (Å) after each atom.
Space group R3 (No. 146, hexagonal axes)
One atom of each set of equivalent atoms:
1 Tb 0.0000 0.0000 0.0000 [3 per cell]  2 Tb 2.88-2.99
2 Tb 0.0000 0.0000 0.2489 [3 per cell]  1 Sc 2.88, 1 Tb 2.88
3 Tb 0.0000 0.0000 0.7418 [3 per cell]  1 Sc 2.83, 1 Tb 2.99
4 Dy 0.0010 0.6756 0.4068 [9 per cell]  3 Tb 3.28-3.65, 1 Sc 3.33
5 Dy 0.0017 0.3289 0.5736 [9 per cell]  2 Tb 3.28-3.43, 1 Sc 3.31
6 Sc 0.0000 0.0000 0.4974 [3 per cell]  2 Tb 2.83-2.88

Calculated values
As for the crystal system: trigonal. For the energy of formation from the pure elements, the calculation gives 245 meV/atom. As for the size of the total moment: 0.01 μB per cell. The value obtained for the polymorph energy (0 for the lowest one) is 0.102 eV/atom.

Entry 8:
A plane-wave DFT calculation with PBE was carried out for crystalline Tb4Dy10Sc at its relaxed geometry.

abc: 9.6963 9.6963 10.3315
angles: 90.00 90.00 90.00
With the nearest neighbours (Å) after each atom.
Space group I4/m (No. 87)
One atom of each set of equivalent atoms:
1 Tb 0.0651 0.6742 0.0000 [8 per cell]  2 Dy 3.15, 1 Sc 3.22
2 Dy 0.0000 0.5000 0.2500 [4 per cell]  4 Dy 3.13, 4 Tb 3.15
3 Dy 0.1118 0.7881 0.3379 [16 per cell]  5 Dy 3.13-3.35
4 Sc 0.0000 0.0000 0.0000 [2 per cell]  4 Tb 3.22

Calculated values
As for the crystal system: tetragonal. For the energy of formation from the pure elements, the calculation gives 376 meV/atom. As for the size of the total moment: 0.00 μB per cell.

Entry 9:
A plane-wave DFT calculation with PBE was carried out for crystalline Tb7DySc4 at its relaxed geometry.

abc: 15.4719 5.7489 9.4052
angles: 90.00 120.62 90.00
With the nearest neighbours (Å) after each atom.
Space group C2/m (No. 12)
One atom of each set of equivalent atoms:
1 Tb 0.0000 0.0000 0.0000 [2 per cell]  2 Dy 2.87, 2 Sc 2.97
2 Tb 0.0885 0.5000 0.4474 [4 per cell]  5 Sc 3.27-3.47, 3 Tb 3.35-3.53
3 Tb 0.2093 0.5000 0.8826 [4 per cell]  6 Tb 3.45-3.53, 4 Sc 3.56-3.75
4 Tb 0.2396 0.5000 0.2747 [4 per cell]  4 Sc 3.06-3.30, 1 Dy 3.26
5 Dy 0.0000 0.5000 0.0000 [2 per cell]  2 Tb 2.87
6 Sc 0.0558 0.0000 0.7013 [4 per cell]  2 Tb 3.06-3.33, 2 Sc 3.22-3.26
7 Sc 0.1661 0.0000 0.3495 [4 per cell]  5 Tb 2.97-3.30, 1 Sc 3.22

Calculated values
As for the crystal system: monoclinic. For the energy of formation from the pure elements, the calculation gives 244 meV/atom. As for the size of the total moment: 0.87 μB per cell. The value obtained for the polymorph energy (0 for the lowest one) is 0.223 eV/atom.

Entry 10:
A plane-wave DFT calculation with PBE was carried out for crystalline Tb6DySc2 at its relaxed geometry.

abc: 21.2473 9.5468 5.5218
angles: 90.00 104.96 90.00
With the nearest neighbours (Å) after each atom.
Space group C2/c (No. 15)
One atom of each set of equivalent atoms:
1 Tb 0.0865 0.0833 0.3387 [8 per cell]  4 Tb 3.18-3.55, 1 Sc 3.35
2 Tb 0.0866 0.4162 0.3351 [8 per cell]  4 Tb 3.18-3.56, 1 Sc 3.36
3 Tb 0.1700 0.2502 0.9201 [8 per cell]  7 Tb 3.28-3.63, 1 Dy 3.49, 6 Sc 3.58-3.59
4 Dy 0.0000 0.2505 0.7500 [4 per cell]  14 Tb 3.49-3.66
5 Sc 0.2499 0.0834 0.4984 [8 per cell]  3 Sc 3.18-3.19, 2 Tb 3.35-3.36

Calculated values
As for the crystal system: monoclinic. For the energy of formation from the pure elements, the calculation gives 75 meV/atom. As for the size of the total moment: 0.00 μB per cell. The value obtained for the polymorph energy (0 for the lowest one) is 0.000 eV/atom.

Entry 11:
A plane-wave DFT calculation with PBE was carried out for crystalline Tb2Dy3Sc at its relaxed geometry.

abc: 5.7711 11.0374 5.7679
angles: 90.00 90.00 90.00
With the nearest neighbours (Å) after each atom.
Space group Cmmm (No. 65)
One atom of each set of equivalent atoms:
1 Tb 0.0000 0.1618 0.0000 [4 per cell]  4 Dy 3.39-3.49, 3 Sc 3.39-3.73, 3 Tb 3.48-3.57
2 Dy 0.0000 0.0000 0.5000 [2 per cell]  6 Dy 3.38-3.75, 4 Tb 3.39
3 Dy 0.0000 0.3399 0.5000 [4 per cell]  2 Sc 3.38, 6 Dy 3.38-3.75, 2 Tb 3.49
4 Sc 0.0000 0.5000 0.0000 [2 per cell]  4 Dy 3.38, 6 Tb 3.39-3.73

Calculated values
As for the crystal system: orthorhombic. For the energy of formation from the pure elements, the calculation gives 131 meV/atom. As for the size of the total moment: 0.00 μB per cell. The value obtained for the polymorph energy (0 for the lowest one) is 0.000 eV/atom.